! Cs2MgBeCd | Alexandria | PBE | relaxed; values from VASP
! * calculated formation energy: 776 meV/atom
&SYSTEM
  ibrav = 0, nat = 5, ntyp = 4
/
ATOMIC_SPECIES
Be 9.01 Be.upf
Cd 112.41 Cd.upf
Cs 132.91 Cs.upf
Mg 24.30 Mg.upf
CELL_PARAMETERS angstrom
-5.588 -4.191 2.340
2.966 -1.570 4.273
-2.620 5.672 3.902
ATOMIC_POSITIONS crystal
Be 0.500 0.500 0.500
Cd 0.000 0.500 0.000
Cs 0.000 0.000 0.500
Cs 0.500 0.000 0.000
Mg 0.000 0.000 0.000



! LiCd2Pt | Alexandria | PBE | relaxed; values from VASP
! * calculated formation energy: -222 meV/atom
! * distance to the lowest polymorph of the same formula: 215 meV/atom
&SYSTEM
  ibrav = 0, nat = 4, ntyp = 3
/
ATOMIC_SPECIES
Cd 112.41 Cd.upf
Li 6.94 Li.upf
Pt 195.08 Pt.upf
CELL_PARAMETERS angstrom
-8.159 -2.181 -5.361
-9.194 -2.855 -2.719
-9.305 -0.100 -3.670
ATOMIC_POSITIONS crystal
Cd 0.008 0.008 0.008
Cd 0.242 0.242 0.242
Li 0.491 0.491 0.491
Pt 0.758 0.758 0.758



! Li2YBi | Alexandria | PBE | relaxed; values from VASP
! * calculated formation energy: -453 meV/atom
&SYSTEM
  ibrav = 0, nat = 4, ntyp = 3
/
ATOMIC_SPECIES
Y 88.91 Y.upf
Li 6.94 Li.upf
Bi 208.98 Bi.upf
CELL_PARAMETERS angstrom
4.872 0.000 0.000
0.000 4.461 0.000
0.000 0.000 4.461
ATOMIC_POSITIONS crystal
Y 0.500 0.500 0.500
Li 0.000 0.000 0.500
Li 0.000 0.500 0.000
Bi 0.500 0.000 0.000



! Nd2SnBi | Alexandria | PBE | relaxed; values from VASP
! * calculated formation energy: -771 meV/atom
! * distance to the lowest polymorph of the same formula: 79 meV/atom
&SYSTEM
  ibrav = 0, nat = 4, ntyp = 3
/
ATOMIC_SPECIES
Nd 144.24 Nd.upf
Bi 208.98 Bi.upf
Sn 118.71 Sn.upf
CELL_PARAMETERS angstrom
4.502 0.000 -0.027
0.000 4.643 0.000
-2.217 0.000 6.033
ATOMIC_POSITIONS crystal
Nd 0.210 0.500 0.960
Nd 0.951 0.000 0.440
Bi 0.483 0.500 0.504
Sn 0.687 0.000 0.913



! KIn2Rh | Alexandria | PBE | relaxed; values from VASP
! * calculated formation energy: -81 meV/atom
&SYSTEM
  ibrav = 0, nat = 4, ntyp = 3
/
ATOMIC_SPECIES
In 114.82 In.upf
Rh 102.91 Rh.upf
K 39.10 K.upf
CELL_PARAMETERS angstrom
3.286 0.000 0.000
0.000 4.118 0.000
0.000 0.000 8.286
ATOMIC_POSITIONS crystal
In 0.000 0.000 0.921
In 0.500 0.500 0.194
Rh 0.500 0.500 0.868
K 0.000 0.000 0.517



! Li3MgAl4 | Alexandria | PBE | relaxed; values from VASP
! * calculated formation energy: -102 meV/atom
&SYSTEM
  ibrav = 0, nat = 8, ntyp = 3
/
ATOMIC_SPECIES
Al 26.98 Al.upf
Mg 24.30 Mg.upf
Li 6.94 Li.upf
CELL_PARAMETERS angstrom
3.868 0.000 -1.364
-0.406 3.910 -1.151
0.900 0.520 8.715
ATOMIC_POSITIONS crystal
Al 0.250 0.750 0.499
Al 0.750 0.250 0.501
Al 0.364 0.364 0.728
Al 0.636 0.636 0.272
Mg 0.500 0.000 0.000
Li 0.870 0.869 0.739
Li 0.130 0.131 0.261
Li 0.000 0.500 0.000



! Li6Zn | Alexandria | PBE | relaxed; values from VASP
! * calculated formation energy: -49 meV/atom
! * distance to the lowest polymorph of the same formula: 0 meV/atom
&SYSTEM
  ibrav = 0, nat = 7, ntyp = 2
/
ATOMIC_SPECIES
Li 6.94 Li.upf
Zn 65.41 Zn.upf
CELL_PARAMETERS angstrom
4.383 0.000 1.504
1.933 3.933 1.504
-0.033 -0.021 7.234
ATOMIC_POSITIONS crystal
Li 0.138 0.138 0.587
Li 0.289 0.289 0.134
Li 0.862 0.862 0.413
Li 0.424 0.424 0.727
Li 0.576 0.576 0.273
Li 0.711 0.711 0.866
Zn 0.000 0.000 0.000



! TlSbPb | Alexandria | PBE | relaxed; values from VASP
! * distance to the lowest polymorph of the same formula: 97 meV/atom
! * formation energy without anion corrections: 66 meV/atom
&SYSTEM
  ibrav = 0, nat = 3, ntyp = 3
/
ATOMIC_SPECIES
Sb 121.76 Sb.upf
Pb 207.20 Pb.upf
Tl 204.38 Tl.upf
CELL_PARAMETERS angstrom
-7.403 -1.721 -2.755
-5.422 -5.878 -1.186
5.494 4.198 4.188
ATOMIC_POSITIONS crystal
Sb 0.337 0.337 0.000
Pb 0.992 0.992 0.000
Tl 0.671 0.671 0.000